# Ho4Te3O GGA-PBE relaxed
data_Ho4Te3O
_cell_length_a 9.688
_cell_length_b 7.985
_cell_length_c 6.104
_cell_angle_alpha 90.00
_cell_angle_beta 90.00
_cell_angle_gamma 90.00
_symmetry_space_group_name_H-M 'P m n 21'
_symmetry_Int_Tables_number 31
_symmetry_space_group_name_Hall 'P 2ac -2'
loop_
_atom_site_label
_atom_site_fract_x
_atom_site_fract_y
_atom_site_fract_z
Ho1 0.000 0.127 0.000
Ho2 0.000 0.871 0.502
Ho3 0.197 0.243 0.487
Te1 0.000 0.753 0.008
Te2 0.243 0.361 0.991
O1 0.000 0.137 0.357
# - ΔE_f (raw): -1.49 eV/atom
# - Fermi-level density of states: 0.552 states/eV/atom
# - Magnetic moment: 0.00 μB/cell


# Ho2Te5O13 GGA-PBE relaxed
data_Ho2Te5O13
_cell_length_a 7.011
_cell_length_b 8.768
_cell_length_c 10.780
_cell_angle_alpha 89.28
_cell_angle_beta 87.40
_cell_angle_gamma 75.09
_symmetry_space_group_name_H-M 'P -1'
_symmetry_Int_Tables_number 2
_symmetry_space_group_name_Hall '-P 1'
loop_
_atom_site_label
_atom_site_fract_x
_atom_site_fract_y
_atom_site_fract_z
Ho1 0.000 0.238 0.239
Ho2 0.447 0.972 0.821
Te1 0.123 0.851 0.107
Te2 0.154 0.304 0.645
Te3 0.271 0.895 0.489
Te4 0.292 0.375 0.977
Te5 0.442 0.400 0.301
O1 0.042 0.851 0.567
O2 0.060 0.317 0.039
O3 0.067 0.517 0.694
O4 0.068 0.765 0.275
O5 0.124 0.990 0.895
O6 0.236 0.996 0.187
O7 0.315 0.235 0.286
O8 0.326 0.730 0.777
O9 0.329 0.239 0.776
O10 0.337 0.015 0.619
O11 0.352 0.481 0.125
O12 0.458 0.695 0.521
O13 0.467 0.169 0.000
# - ΔE_f (raw): -1.74 eV/atom
# - Fermi-level density of states: 0.000 states/eV/atom
# - Magnetic moment: 0.00 μB/cell


# HoTe2O8 GGA-PBE relaxed
data_HoTe2O8
_cell_length_a 5.165
_cell_length_b 5.165
_cell_length_c 10.921
_cell_angle_alpha 90.00
_cell_angle_beta 90.00
_cell_angle_gamma 90.00
_symmetry_space_group_name_H-M 'I 4 2 2'
_symmetry_Int_Tables_number 97
_symmetry_space_group_name_Hall 'I 4 2'
loop_
_atom_site_label
_atom_site_fract_x
_atom_site_fract_y
_atom_site_fract_z
Ho1 0.000 0.000 0.000
Te1 0.000 0.500 0.250
O1 0.192 0.296 0.865
# - ΔE_f (raw): -1.08 eV/atom
# - Fermi-level density of states: 0.694 states/eV/atom
# - Magnetic moment: 0.00 μB/cell


# HoTl2TeO8 GGA-PBE relaxed
data_HoTl2TeO8
_cell_length_a 7.077
_cell_length_b 7.240
_cell_length_c 6.811
_cell_angle_alpha 90.00
_cell_angle_beta 90.00
_cell_angle_gamma 90.00
_symmetry_space_group_name_H-M 'C m m m'
_symmetry_Int_Tables_number 65
_symmetry_space_group_name_Hall '-C 2 2'
loop_
_atom_site_label
_atom_site_fract_x
_atom_site_fract_y
_atom_site_fract_z
Ho1 0.000 0.000 0.000
Tl1 0.000 0.500 0.253
Te1 0.000 0.000 0.500
O1 0.000 0.177 0.284
O2 0.194 0.500 0.000
O3 0.219 0.500 0.500
# - ΔE_f (raw): -1.24 eV/atom
# - Fermi-level density of states: 0.703 states/eV/atom
# - Magnetic moment: 1.92 μB/cell


# HoTlTeO4 GGA-PBE relaxed
data_HoTlTeO4
_cell_length_a 5.879
_cell_length_b 6.028
_cell_length_c 7.710
_cell_angle_alpha 90.00
_cell_angle_beta 104.39
_cell_angle_gamma 90.00
_symmetry_space_group_name_H-M 'P 1 21/m 1'
_symmetry_Int_Tables_number 11
_symmetry_space_group_name_Hall '-P 2yb'
loop_
_atom_site_label
_atom_site_fract_x
_atom_site_fract_y
_atom_site_fract_z
Ho1 0.167 0.250 0.459
Tl1 0.074 0.750 0.127
Te1 0.400 0.750 0.749
O1 0.153 0.510 0.668
O2 0.239 0.250 0.187
O3 0.438 0.750 0.509
# - ΔE_f (raw): -1.82 eV/atom
# - Fermi-level density of states: 0.000 states/eV/atom
# - Magnetic moment: 0.00 μB/cell


# HoTl2Te2O6 GGA-PBE relaxed
data_HoTl2Te2O6
_cell_length_a 9.879
_cell_length_b 7.015
_cell_length_c 6.541
_cell_angle_alpha 90.00
_cell_angle_beta 111.18
_cell_angle_gamma 90.00
_symmetry_space_group_name_H-M 'C 1 2/m 1'
_symmetry_Int_Tables_number 12
_symmetry_space_group_name_Hall '-C 2y'
loop_
_atom_site_label
_atom_site_fract_x
_atom_site_fract_y
_atom_site_fract_z
Ho1 0.000 0.000 0.000
Tl1 0.185 0.000 0.612
Te1 0.053 0.500 0.754
O1 0.034 0.213 0.765
O2 0.246 0.000 0.192
# - ΔE_f (raw): -1.36 eV/atom
# - Fermi-level density of states: 0.170 states/eV/atom
# - Magnetic moment: 0.00 μB/cell